DFT (PBE+U) results for an optimized crystal structure of BaPaFe2O6.

abc: 5.8740 5.8740 6.2510
angles: 61.98 61.98 60.00
Closest atoms and distances in Å follow each position.
Element x y z (fractional)
O1 0.4794 0.6625 0.7636  1 Fe 1.98, 1 Pa 2.19
O2 0.5206 0.3375 0.2364  1 Fe 1.98, 1 Pa 2.19
O3 0.3375 0.9055 0.2364  1 Fe 1.98, 1 Pa 2.19
O4 0.9055 0.5206 0.2364  1 Fe 1.98, 1 Pa 2.19
O5 0.6625 0.0945 0.7636  1 Fe 1.98, 1 Pa 2.19
O6 0.0945 0.4794 0.7636  1 Fe 1.98, 1 Pa 2.19
Ba1 0.0000 0.0000 0.0000  6 O 2.70
Pa1 0.5000 0.5000 0.5000  6 O 2.19
Fe1 0.7017 0.7017 0.8950  3 O 1.98
Fe2 0.2983 0.2983 0.1050  3 O 1.98

Calculated values
The total energy comes out at -7.596 eV per atom. The density is 6.10 g/cm³.